DFT (GGA+U) results for Ca2MnBeO5 after structural relaxation.

Lattice parameters (Å, degrees): 3.0450 13.0913 10.0402 90.00 90.00 90.00
Closest atoms and distances in Å follow each position.
Space group Cmc2_1 (No. 36)
One atom of each set of equivalent atoms:
Ca 0.0000 0.0930 0.0000 [4 per cell]  6 O 2.31-2.53
Ca 0.0000 0.1292 0.6593 [4 per cell]  7 O 2.33-2.52
Mn 0.0000 0.2062 0.3642 [4 per cell]  6 O 1.88-2.00
Be 0.0000 0.4386 0.7656 [4 per cell]  4 O 1.57-1.74
O 0.0000 0.0559 0.3497 [4 per cell]  2 Be 1.74
O 0.0000 0.2858 0.9927 [4 per cell]  2 Mn 2.00
O 0.0000 0.3096 0.7397 [4 per cell]  1 Be 1.71
O 0.0000 0.3485 0.3405 [4 per cell]  1 Mn 1.88
O 0.0000 0.4964 0.6285 [4 per cell]  1 Be 1.57

Final energy ... -246.06 eV/cell